Compound: La3NdHo4
Source: Alexandria
Functional: PBE
Structure: relaxed

Unit cell a=3.4805 b=9.0588 c=9.0588 alpha=81.61 beta=78.92 gamma=78.92
Fractional coordinates of all 8 atoms:
Ho1 0.3653 0.8866 0.3828
La1 0.7573 0.2427 0.2427
Nd1 0.5000 0.0000 0.0000
Ho2 0.6347 0.6172 0.1134
Ho3 0.3653 0.3828 0.8866
La2 0.2427 0.7573 0.7573
Ho4 0.6347 0.1134 0.6172
La3 0.0000 0.5000 0.5000

## Properties
* energy above the lowest structure with this stoichiometry: 0.103 eV/atom
* SG: Immm, No. 71
* total energy: -4.596 eV per atom
* DOS(E_F): 1.6930 states/eV per atom



Compound: CaLa2SbRu
Source: Alexandria
Functional: PBE
Structure: relaxed

Unit cell a=5.3185 b=5.3185 c=5.5463 alpha=90.00 beta=90.00 gamma=90.00
Fractional coordinates of all 5 atoms:
La1 0.5000 0.0000 0.0000
Sb1 0.5000 0.5000 0.5000
Ru1 0.0000 0.0000 0.0000
La2 0.0000 0.5000 0.0000
Ca1 0.0000 0.0000 0.5000

## Properties
* raw formation energy: -502 meV per atom
* SG: P4/mmm, No. 123
* total energy: -5.553 eV per atom
* DOS(E_F): 0.8914 states/eV per atom



Compound: PuCdAgIr
Source: Alexandria
Functional: PBE
Structure: relaxed

Unit cell a=4.8603 b=4.8603 c=4.8603 alpha=60.00 beta=60.00 gamma=60.00
Fractional coordinates of all 4 atoms:
Pu1 0.0000 0.0000 0.0000
Cd1 0.5000 0.5000 0.5000
Ag1 0.2500 0.2500 0.2500
Ir1 0.7500 0.7500 0.7500

## Properties
* SG: F-43m, No. 216
* total energy: -6.772 eV per atom
* DOS(E_F): 2.8355 states/eV per atom



Compound: LiLaSnH
Source: Alexandria
Functional: PBE
Structure: relaxed

Unit cell a=4.7278 b=4.7282 c=4.0188 alpha=90.00 beta=90.00 gamma=120.00
Fractional coordinates of all 4 atoms:
La1 0.5720 0.1439 0.3097
Li1 0.2387 0.4774 0.8101
H1 0.2384 0.4768 0.3099
Sn1 0.9053 0.8105 0.8095

## Properties
* SG: P-6m2, No. 187
* total energy: -4.123 eV per atom
* DOS(E_F): 0.4922 states/eV per atom



Question: The lowest total energy belongs to which entry?
Answer: PuCdAgIr



Copy entry 4 word for word.
Compound: LiLaSnH
Source: Alexandria
Functional: PBE
Structure: relaxed

Unit cell a=4.7278 b=4.7282 c=4.0188 alpha=90.00 beta=90.00 gamma=120.00
Fractional coordinates of all 4 atoms:
La1 0.5720 0.1439 0.3097
Li1 0.2387 0.4774 0.8101
H1 0.2384 0.4768 0.3099
Sn1 0.9053 0.8105 0.8095

## Properties
* SG: P-6m2, No. 187
* total energy: -4.123 eV per atom
* DOS(E_F): 0.4922 states/eV per atom



Question: total energy of number 2 (CaLa2SbRu)?
Answer: -5.553 eV per atom